No. 1
# CaZrTl2Te

An optimized crystal structure of CaZrTl2Te (PBE, Alexandria via LeMat-Bulk).

abc: 6.0857 6.0857 5.3992
angles: 90.00 90.00 90.00
Last column: nearest neighbours and their distance in Å.
Sites, in units of the cell vectors:
Ca  0.0000  0.0000  0.0000  8 Tl 4.07, 4 Zr 4.30
Zr  0.5000  0.5000  0.0000  2 Te 2.70
Tl  0.0000  0.5000  0.5000  2 Te 3.04
Tl  0.5000  0.0000  0.5000  2 Te 3.04
Te  0.5000  0.5000  0.5000  2 Zr 2.70

Properties
* symmetry: No. 123
* uncorrected formation energy: 393 meV/atom

No. 2
# PmZn2GePd

An optimized crystal structure of PmZn2GePd (PBE, Alexandria via LeMat-Bulk).

abc: 6.0823 6.0823 6.0823
angles: 139.89 138.80 58.85
Last column: nearest neighbours and their distance in Å.
Sites, in units of the cell vectors:
Pm  0.0000  0.0000  0.0000  4 Ge 3.20, 8 Zn 3.25-3.41, 4 Pd 3.27-3.51
Zn  0.3782  0.3782  0.0000  1 Ge 2.45, 2 Zn 2.53, 2 Pd 2.56
Zn  0.7502  0.2502  0.5000  2 Zn 2.53, 2 Ge 2.57
Ge  0.6091  0.6091  0.0000  3 Zn 2.45-2.57, 2 Pd 2.54
Pd  0.2378  0.7378  0.5000  2 Ge 2.54, 2 Zn 2.56

Properties
* symmetry: No. 44
* formation energy from the elements: -2.92 eV per formula unit

No. 3
# Rb2CeAgF6

An optimized crystal structure of Rb2CeAgF6 (PBE, Alexandria via LeMat-Bulk).

abc: 6.7032 6.7032 6.7032
angles: 60.00 60.00 60.00
Last column: nearest neighbours and their distance in Å.
Sites, in units of the cell vectors:
Rb  0.2500  0.2500  0.2500  12 F 3.35
Rb  0.7500  0.7500  0.7500  12 F 3.35
Ce  0.0000  0.0000  0.0000  6 F 2.27
Ag  0.5000  0.5000  0.5000  6 F 2.47
F  0.2396  0.2396  0.7604  1 Ce 2.27, 1 Ag 2.47
F  0.2396  0.7604  0.2396  1 Ce 2.27, 1 Ag 2.47
F  0.2396  0.7604  0.7604  1 Ce 2.27, 1 Ag 2.47
F  0.7604  0.2396  0.2396  1 Ce 2.27, 1 Ag 2.47
F  0.7604  0.2396  0.7604  1 Ce 2.27, 1 Ag 2.47
F  0.7604  0.7604  0.2396  1 Ce 2.27, 1 Ag 2.47

Properties
* symmetry: No. 225
* uncorrected formation energy: -2861 meV/atom

No. 4
# Rb2Fe3Cl9

An optimized crystal structure of Rb2Fe3Cl9 (PBE, Alexandria via LeMat-Bulk).

abc: 10.0780 10.0780 10.4136
angles: 106.52 106.52 110.20
Last column: nearest neighbours and their distance in Å.
Sites, in units of the cell vectors:
Rb  0.0950  0.7711  0.7038  6 Cl 3.30-3.52
Rb  0.2289  0.9050  0.2962  6 Cl 3.30-3.52
Rb  0.7711  0.0950  0.7038  6 Cl 3.30-3.52
Rb  0.9050  0.2289  0.2962  6 Cl 3.30-3.52
Fe  0.2081  0.4464  0.8081  5 Cl 2.29-2.48
Fe  0.3577  0.3577  0.1636  5 Cl 2.24-2.43
Fe  0.4464  0.2081  0.8081  5 Cl 2.29-2.48
Fe  0.5536  0.7919  0.1919  5 Cl 2.29-2.48
Fe  0.6423  0.6423  0.8364  5 Cl 2.24-2.43
Fe  0.7919  0.5536  0.1919  5 Cl 2.29-2.48
Cl  0.0296  0.5968  0.3479  1 Fe 2.29
Cl  0.1405  0.3428  0.9716  2 Fe 2.37-2.43
Cl  0.1989  0.1989  0.6702  2 Fe 2.45
Cl  0.2326  0.2326  0.2732  1 Fe 2.24
Cl  0.2919  0.7081  0.0000  2 Fe 2.48
Cl  0.3428  0.1405  0.9716  2 Fe 2.37-2.43
Cl  0.3705  0.5713  0.7108  2 Fe 2.35-2.41
Cl  0.4032  0.9704  0.6521  1 Fe 2.29
Cl  0.4287  0.6295  0.2892  2 Fe 2.35-2.41
Cl  0.5713  0.3705  0.7108  2 Fe 2.35-2.41
Cl  0.5968  0.0296  0.3479  1 Fe 2.29
Cl  0.6295  0.4287  0.2892  2 Fe 2.35-2.41
Cl  0.6572  0.8595  0.0284  2 Fe 2.37-2.43
Cl  0.7081  0.2919  0.0000  2 Fe 2.48
Cl  0.7674  0.7674  0.7268  1 Fe 2.24
Cl  0.8011  0.8011  0.3298  2 Fe 2.45
Cl  0.8595  0.6572  0.0284  2 Fe 2.37-2.43
Cl  0.9704  0.4032  0.6521  1 Fe 2.29

Properties
* symmetry: No. 12
* uncorrected formation energy: -1065 meV/atom

No. 5
# K2BaSc

An optimized crystal structure of K2BaSc (PBE, Alexandria via LeMat-Bulk).

abc: 8.4109 8.4109 6.6151
angles: 112.75 112.75 28.61
Last column: nearest neighbours and their distance in Å.
Sites, in units of the cell vectors:
K  0.2223  0.2223  0.2226  2 Sc 3.92, 6 K 3.99-4.16
K  0.7777  0.7777  0.7774  2 Sc 3.92, 6 K 3.99-4.16
Ba  0.0000  0.0000  0.5000  4 Sc 3.91, 2 Ba 4.16
Sc  0.5000  0.5000  0.0000  4 Ba 3.91, 4 K 3.92, 2 Sc 4.16

Properties
* energy relative to the lowest polymorph listed for this composition: 100 meV/atom
* symmetry: No. 12
* formation energy from the elements: 1.84 eV per formula unit

No. 6
# Er3Zn

An optimized crystal structure of Er3Zn (PBE, Alexandria via LeMat-Bulk).

abc: 3.5241 3.5241 8.5294
angles: 90.00 90.00 90.00
Last column: nearest neighbours and their distance in Å.
Sites, in units of the cell vectors:
Er  0.0000  0.0000  0.0000  12 Er 3.52-3.53
Er  0.5000  0.5000  0.2926  4 Zn 3.06
Er  0.5000  0.5000  0.7074  4 Zn 3.06
Zn  0.0000  0.0000  0.5000  8 Er 3.06

Properties
* symmetry: No. 123
* formation energy from the elements: -0.65 eV per formula unit

No. 7
# MnFeCu2

An optimized crystal structure of MnFeCu2 (PBE, Alexandria via LeMat-Bulk).

abc: 2.9013 2.9013 5.5723
angles: 90.00 90.00 90.00
Last column: nearest neighbours and their distance in Å.
Sites, in units of the cell vectors:
Mn  0.0000  0.0000  0.0000  4 Fe 2.38, 4 Cu 2.55
Fe  0.5000  0.5000  0.7835  4 Mn 2.38, 4 Cu 2.53
Cu  0.0000  0.0000  0.5189  4 Cu 2.47, 4 Fe 2.53, 1 Mn 2.68
Cu  0.5000  0.5000  0.2716  4 Cu 2.47, 4 Mn 2.55, 1 Fe 2.72

Properties
* symmetry: No. 99
* formation energy from the elements: 0.82 eV per formula unit

No. 8
# KZrUO6

An optimized crystal structure of KZrUO6 (PBE, Alexandria via LeMat-Bulk).

abc: 7.8404 7.8404 7.8404
angles: 121.41 118.23 90.33
Last column: nearest neighbours and their distance in Å.
Sites, in units of the cell vectors:
K  0.3199  0.0699  0.2500  1 O 2.78
K  0.6801  0.9301  0.7500  1 O 2.78
Zr  0.0000  0.0000  0.5000  6 O 2.06-2.13
Zr  0.0000  0.5000  0.0000  6 O 2.06-2.13
U  0.0000  0.5000  0.5000  6 O 2.03-2.13
U  0.5000  0.5000  0.0000  6 O 2.03-2.13
O  0.0580  0.4313  0.2486  1 U 2.03, 1 Zr 2.13
O  0.0580  0.8094  0.6266  1 U 2.03, 1 Zr 2.13
O  0.0689  0.8189  0.2500  2 Zr 2.06
O  0.3137  0.5637  0.7500  2 U 2.13
O  0.3173  0.1906  0.7486  1 U 2.03, 1 Zr 2.13
O  0.3173  0.5687  0.1266  1 U 2.03, 1 Zr 2.13
O  0.6827  0.4313  0.8734  1 U 2.03, 1 Zr 2.13
O  0.6827  0.8094  0.2514  1 U 2.03, 1 Zr 2.13
O  0.6863  0.4363  0.2500  2 U 2.13
O  0.9311  0.1811  0.7500  2 Zr 2.06
O  0.9420  0.1906  0.3734  1 U 2.03, 1 Zr 2.13
O  0.9420  0.5687  0.7514  1 U 2.03, 1 Zr 2.13

Properties
* symmetry: No. 74
* uncorrected formation energy: -2688 meV/atom

No. 9
# Re2PSe

An optimized crystal structure of Re2PSe (PBE, Alexandria via LeMat-Bulk).

abc: 5.7534 5.7534 5.7534
angles: 149.07 141.54 50.15
Last column: nearest neighbours and their distance in Å.
Sites, in units of the cell vectors:
Re  0.0000  0.0000  0.0000  4 P 2.53, 2 Se 2.69
Re  0.7384  0.2384  0.5000  2 P 2.38, 4 Se 2.57
P  0.5642  0.5642  0.0000  6 Re 2.38-2.53
Se  0.3174  0.8174  0.5000  6 Re 2.57-2.69

Properties
* energy relative to the lowest polymorph listed for this composition: 328 meV/atom
* symmetry: No. 44
* uncorrected formation energy: 358 meV/atom

No. 10
# ReAgAs2W

An optimized crystal structure of ReAgAs2W (PBE, Alexandria via LeMat-Bulk).

abc: 4.6462 4.6462 5.0297
angles: 90.00 90.00 90.00
Last column: nearest neighbours and their distance in Å.
Sites, in units of the cell vectors:
Re  0.0000  0.0000  0.0000  4 W 3.29, 8 As 3.42
Ag  0.5000  0.5000  0.5000  4 As 2.32, 2 W 2.51
As  0.0000  0.5000  0.5000  2 Ag 2.32
As  0.5000  0.0000  0.5000  2 Ag 2.32
W  0.5000  0.5000  0.0000  2 Ag 2.51

Properties
* energy relative to the lowest polymorph listed for this composition: 795 meV/atom
* symmetry: No. 123
* formation energy from the elements: 12.30 eV per formula unit

No. 11
# PuTaNb

An optimized crystal structure of PuTaNb (PBE, Alexandria via LeMat-Bulk).

abc: 5.9078 5.9078 5.9078
angles: 147.39 147.39 46.78
Last column: nearest neighbours and their distance in Å.
Sites, in units of the cell vectors:
Pu  0.0000  0.0000  0.0000  4 Nb 3.00, 4 Ta 3.03, 4 Pu 3.32
Ta  0.3232  0.3232  0.0000  4 Nb 2.85, 4 Pu 3.03
Nb  0.6731  0.6731  0.0000  4 Ta 2.85, 4 Pu 3.00

Properties
* energy relative to the lowest polymorph listed for this composition: 0 meV/atom
* symmetry: No. 107
* formation energy from the elements: 0.78 eV per formula unit

Density of states at the Fermi level, record by record: 1.03, 0.55, 0.38, 0.86, 1.66, 1.01, 0.94, 0.92, 0.72, 1.51, 1.94 states/eV per atom
Theoretical density, record by record: 5.545, 7.987, 4.155, 2.535, 2.105, 8.891, 8.421, 4.517, 13.215, 9.601, 14.416 g/cm³